(1)
Material: NaCa3Cu
Method: DFT, PBE
State: relaxed

Cell and atoms, written as POSCAR:
```
NaCa3Cu
1.0
6.024 0.000 0.000
0.000 6.024 0.000
0.000 0.000 6.024
Na Ca Cu
1 3 1
direct
0.000 0.000 0.000
0.000 0.000 0.500
0.000 0.500 0.000
0.500 0.000 0.000
0.500 0.500 0.500
```

Calculated values
Distance to the lowest polymorph of the same formula, meV per atom: 789
Formation energy from the elements, eV/atom: 0.76
Crystal system: cubic



(2)
Material: HgIr2Os
Method: DFT, PBE
State: relaxed

Cell and atoms, written as POSCAR:
```
HgIr2Os
1.0
2.807 0.000 0.000
0.000 2.807 0.000
0.000 0.000 8.097
Hg Ir Os
1 2 1
direct
0.000 0.000 0.000
0.000 0.000 0.506
0.500 0.500 0.272
0.500 0.500 0.724
```

Calculated values
Formation energy from the elements, eV/atom: 0.42
Crystal system: tetragonal



(3)
Material: NaLa2Tl2
Method: DFT, PBE
State: relaxed

Cell and atoms, written as POSCAR:
```
NaLa2Tl2
1.0
-2.460 2.460 7.415
2.460 -2.460 7.415
2.460 2.460 -7.415
Na La Tl
1 2 2
direct
0.000 0.000 0.000
0.250 0.750 0.500
0.750 0.250 0.500
0.404 0.404 0.000
0.596 0.596 0.000
```

Calculated values
Distance to the lowest polymorph of the same formula, meV per atom: 279
Formation energy from the elements, eV/atom: 0.02
Crystal system: tetragonal



(4)
Material: MnAsIr2
Method: DFT, PBE
State: relaxed

Cell and atoms, written as POSCAR:
```
MnAsIr2
1.0
-2.716 2.716 5.341
2.716 -2.716 5.341
2.716 2.716 -5.341
Mn As Ir
2 2 4
direct
0.000 0.000 0.000
0.750 0.250 0.500
0.250 0.750 0.500
0.500 0.500 0.000
0.105 0.625 0.980
0.375 0.355 0.480
0.645 0.125 0.020
0.875 0.895 0.520
```

Calculated values
Formation energy from the elements, eV/atom: 0.51
Crystal system: tetragonal



(5)
Material: YBe2SiIr
Method: DFT, PBE
State: relaxed

Cell and atoms, written as POSCAR:
```
YBe2SiIr
1.0
-1.919 1.944 4.974
1.919 -1.944 4.974
1.919 1.944 -4.974
Y Be Si Ir
1 2 1 1
direct
0.000 0.000 0.000
0.380 0.380 0.000
0.754 0.254 0.500
0.619 0.619 0.000
0.257 0.757 0.500
```

Calculated values
Uncorrected formation energy, meV/atom: -576
Crystal system: orthorhombic



(6)
Material: TlSe2Cl2
Method: DFT, PBE
State: relaxed

Cell and atoms, written as POSCAR:
```
TlSe2Cl2
1.0
8.242 0.000 0.000
0.000 8.242 0.000
0.000 0.000 4.485
Tl Se Cl
2 4 4
direct
0.000 0.000 0.000
0.500 0.500 0.000
0.093 0.407 0.000
0.407 0.907 0.000
0.593 0.093 0.000
0.907 0.593 0.000
0.247 0.747 0.500
0.253 0.247 0.500
0.747 0.753 0.500
0.753 0.253 0.500
```

Calculated values
Distance to the lowest polymorph of the same formula, meV per atom: 43
Uncorrected formation energy, meV/atom: -205
Crystal system: tetragonal



(7)
Material: LaTlFe
Method: DFT, PBE
State: relaxed

Cell and atoms, written as POSCAR:
```
LaTlFe
1.0
0.000 3.385 3.385
3.385 0.000 3.385
3.385 3.385 0.000
La Tl Fe
1 1 1
direct
0.000 0.000 0.000
0.500 0.500 0.500
0.750 0.750 0.750
```

Calculated values
Formation energy from the elements, eV/atom: 0.24
Crystal system: cubic



(8)
Material: Pm3TeAuBr
Method: DFT, PBE
State: relaxed

Cell and atoms, written as POSCAR:
```
Pm3TeAuBr
1.0
7.634 0.000 0.000
0.000 4.025 0.000
-2.693 0.000 11.545
Pm Te Au Br
6 2 2 2
direct
0.042 0.250 0.145
0.298 0.250 0.501
0.451 0.750 0.835
0.549 0.250 0.165
0.702 0.750 0.499
0.958 0.750 0.855
0.337 0.750 0.304
0.663 0.250 0.696
0.246 0.250 0.951
0.754 0.750 0.049
0.114 0.750 0.630
0.886 0.250 0.370
```

Calculated values
Uncorrected formation energy, meV/atom: -1088
Crystal system: monoclinic



Q: What is the formula in the eighth record?
A: Pm3TeAuBr



Copy entry 4 word for word.
Material: MnAsIr2
Method: DFT, PBE
State: relaxed

Cell and atoms, written as POSCAR:
```
MnAsIr2
1.0
-2.716 2.716 5.341
2.716 -2.716 5.341
2.716 2.716 -5.341
Mn As Ir
2 2 4
direct
0.000 0.000 0.000
0.750 0.250 0.500
0.250 0.750 0.500
0.500 0.500 0.000
0.105 0.625 0.980
0.375 0.355 0.480
0.645 0.125 0.020
0.875 0.895 0.520
```

Calculated values
Formation energy from the elements, eV/atom: 0.51
Crystal system: tetragonal